{
  "formula": "Ac2Ni",
  "functional": "PBE",
  "state": "optimized geometry",
  "formation_energy_ev_per_atom": -0.14,
  "final_energy_ev_per_atom": -4.81,
  "relative_energy_kj_per_mol_atoms": 3.0,
  "cell": [[4.373, 0.000, 0.000], [0.000, 7.255, 0.000], [0.000, 0.000, 13.708]],
  "species": ["Ni", "Ni", "Ni", "Ni", "Ac", "Ac", "Ac", "Ac", "Ac", "Ac", "Ac", "Ac"],
  "frac_coords": [[0.250, 0.750, 0.000], [0.250, 0.250, 0.500], [0.750, 0.750, 0.500], [0.750, 0.250, 0.000], [0.250, 0.589, 0.383], [0.750, 0.911, 0.883], [0.250, 0.089, 0.117], [0.750, 0.589, 0.117], [0.250, 0.911, 0.617], [0.750, 0.411, 0.617], [0.750, 0.089, 0.383], [0.250, 0.411, 0.883]]
}